# 1
# PBE-GGA TbCuNi5Ge2, optimized geometry
data_TbCuNi5Ge2
_cell_length_a 3.816
_cell_length_b 3.816
_cell_length_c 8.977
_cell_angle_alpha 90.00
_cell_angle_beta 90.00
_cell_angle_gamma 90.00
_space_group_name_H-M_alt 'P 1'
_space_group_IT_number 1
loop_
_space_group_symop_operation_xyz
'x,y,z'
loop_
_atom_site_label
_atom_site_type_symbol
_atom_site_fract_x
_atom_site_fract_y
_atom_site_fract_z
Tb1 Tb 0.000 0.000 0.500
Cu1 Cu 0.000 0.000 0.000
Ni1 Ni 0.000 0.500 0.278
Ni2 Ni 0.500 0.000 0.278
Ni3 Ni 0.000 0.500 0.722
Ni4 Ni 0.500 0.000 0.722
Ni5 Ni 0.500 0.500 0.500
Ge1 Ge 0.500 0.500 0.133
Ge2 Ge 0.500 0.500 0.867
# Electronic total energy in eV per atom: -5.299
# Energy of formation in eV per atom: -0.09

---

# 2
# PBE-GGA PaAsS, optimized geometry
data_PaAsS
_cell_length_a 4.663
_cell_length_b 4.663
_cell_length_c 4.663
_cell_angle_alpha 60.00
_cell_angle_beta 60.00
_cell_angle_gamma 60.00
_space_group_name_H-M_alt 'P 1'
_space_group_IT_number 1
loop_
_space_group_symop_operation_xyz
'x,y,z'
loop_
_atom_site_label
_atom_site_type_symbol
_atom_site_fract_x
_atom_site_fract_y
_atom_site_fract_z
As1 As 0.000 0.000 0.000
Pa1 Pa 0.250 0.250 0.250
S1 S 0.500 0.500 0.500
# Electronic total energy in eV per atom: -7.222